{"formula": "PPdRuN", "functional": "PBE", "state": "relaxed", "crystal_system": "orthorhombic", "spacegroup": "Imm2, No. 44", "magmom_total_mub_per_atom": 0.000, "raw_formation_energy_mev_per_atom": 114, "lattice_angstrom": [[3.360, 0.000, 0.000], [0.000, 3.057, 0.000], [0.000, 0.000, 9.349]], "species": ["P", "Pd", "N", "Ru", "Pd", "P", "N", "Ru"], "frac_coords": [[0.000, 0.000, 0.293], [0.000, 0.000, 0.002], [0.000, 0.000, 0.475], [0.500, 0.500, 0.205], [0.500, 0.500, 0.502], [0.500, 0.500, 0.793], [0.500, 0.500, 0.975], [0.000, 0.000, 0.705]]}